# MgBe3Pd | Alexandria via LeMat-Bulk | PBE | relaxed
# **Offset from the most stable computed form**: 0 meV per atom
# **DFT formation energy**: 1.57 eV per formula unit
# **Density**: 3.38 g/cm³
# **M_tot**: 0.000 μB/atom
# **Space group**: No. 221
data_MgBe3Pd
_chemical_formula_sum 'Mg1 Be3 Pd1'
_symmetry_space_group_name_H-M 'P 1'
_symmetry_Int_Tables_number 1
_symmetry_space_group_name_Hall 'P 1'
_cell_length_a 4.2639
_cell_length_b 4.2639
_cell_length_c 4.2639
_cell_angle_alpha 90.00
_cell_angle_beta 90.00
_cell_angle_gamma 90.00
loop_
_atom_site_label
_atom_site_type_symbol
_atom_site_fract_x
_atom_site_fract_y
_atom_site_fract_z
Be1 Be 0.0000 0.0000 0.5000
Mg1 Mg 0.5000 0.5000 0.5000
Pd1 Pd 0.0000 0.0000 0.0000
Be2 Be 0.5000 0.0000 0.0000
Be3 Be 0.0000 0.5000 0.0000